(1)
## Na2Tl2Pb3 (PBE)

Data for an optimized crystal structure of Na2Tl2Pb3.

Its energy relative to the lowest polymorph listed for this composition is 70 meV per atom. Its formation energy is -0.0133 eV/atom.

The structure belongs to space group I2_13 (No. 199); the cell edges are 9.612, 9.612 and 9.612 Å and the angles 90.00°, 90.00° and 90.00°. The distinct sites, in fractional coordinates, are Na at (0.240, 0.240, 0.240), Tl at (0.077, 0.423, 0.577) and Pb at (0.000, 0.250, 0.993).

---

(2)
## Pm4As2Se (PBE)

Data for an optimized crystal structure of Pm4As2Se.

The formation energy (no corrections) is -1.3490 eV per atom.

The structure belongs to space group I-42d (No. 122); the cell edges are 8.928, 8.928 and 8.978 Å and the angles 90.00°, 90.00° and 90.00°. The distinct sites, in fractional coordinates, are Pm at (0.069, 0.183, 0.311), As at (0.125, 0.250, 0.625) and Se at (0.000, 0.000, 0.000).

---

(3)
## Zr4AlOs3 (PBE)

Data for an optimized crystal structure of Zr4AlOs3.

Its formation energy is -0.4611 eV/atom.

The structure belongs to space group Pmmm (No. 47); the cell edges are 3.320, 4.668 and 9.324 Å and the angles 90.00°, 90.00° and 90.00°. The distinct sites, in fractional coordinates, are Zr at (0.000, 0.000, 0.000), Zr at (0.000, 0.000, 0.500), Zr at (0.000, 0.500, 0.242), Al at (0.500, 0.500, 0.500), Os at (0.500, 0.000, 0.253) and Os at (0.500, 0.500, 0.000).

---

| no. | uncorrected energy (eV per atom) | Fermi-level density of states (states/eV/f.u.) |
| --- | --- | --- |
| 1 | -2.66 | 2.42 |
| 2 | -5.89 | 7.15 |
| 3 | -9.41 | 3.63 |